A plane-wave DFT calculation with PBE was carried out for an optimized crystal structure of CuHgWN2.

```
data_CuHgWN2
_chemical_formula_sum 'Cu1 Hg1 W1 N2'
_cell_length_a 3.8592
_cell_length_b 3.8592
_cell_length_c 4.9418
_cell_angle_alpha 90.00
_cell_angle_beta 90.00
_cell_angle_gamma 90.00
_space_group_name_H-M_alt 'P 4/m m m'
_space_group_IT_number 123
_space_group_name_Hall '-P 4 2'
loop_
_atom_site_label
_atom_site_fract_x
_atom_site_fract_y
_atom_site_fract_z
Cu1 0.0000 0.0000 0.0000
Hg1 0.5000 0.5000 0.5000
W1 0.0000 0.0000 0.5000
N1 0.0000 0.5000 0.0000
```

Values from the calculation:
Crystal system = tetragonal
V = 73.60 Å³/cell
Uncorrected formation energy = 2.188 eV per atom